Below is a relaxed structure of Ti2V2Ir, with properties calculated at the PBE-GGA level.

Cell lengths 3.680, 3.680, 6.395 Å; angles 73.28, 73.28, 90.00 degrees
Atoms (fractional coordinates):
V 0.418 0.418 0.164
V 0.582 0.582 0.836
Ir 0.000 0.000 0.000
Ti 0.750 0.250 0.500
Ti 0.250 0.750 0.500

Computed properties:
Final energy   -40.48 eV/cell
SG   I4/mmm
V   15.8 Å³/atom
E_form   0.4806 eV/atom
DOS at the Fermi energy   8.5 states/eV per cell
Relative energy among the computed polymorphs   910.5 meV per atom

Below is a relaxed structure of Ba4Na3Li, with properties calculated at the PBE-GGA level.

Cell lengths 6.525, 6.553, 11.279 Å; angles 73.57, 73.19, 60.14 degrees
Atoms (fractional coordinates):
Na 0.248 0.249 0.256
Na 0.752 0.751 0.744
Na 0.500 0.500 0.500
Ba 0.879 0.880 0.362
Ba 0.371 0.370 0.887
Ba 0.121 0.120 0.638
Ba 0.629 0.630 0.113
Li 0.000 0.000 0.000

Computed properties:
Final energy   -13.36 eV/cell
SG   C2/m
V   49.3 Å³/atom
E_form   0.0251 eV/atom
DOS at the Fermi energy   10.9 states/eV per cell
Relative energy among the computed polymorphs   0.0 meV per atom

Below is a relaxed structure of La2DyHoSb4, with properties calculated at the PBE-GGA level.

Cell lengths 4.510, 7.780, 7.806 Å; angles 70.46, 90.00, 90.00 degrees
Atoms (fractional coordinates):
La 0.000 0.000 0.000
La 0.500 0.000 0.500
Dy 0.000 0.500 0.500
Ho 0.500 0.500 0.000
Sb 0.000 0.736 0.755
Sb 0.000 0.264 0.245
Sb 0.500 0.736 0.254
Sb 0.500 0.264 0.746

Computed properties:
Final energy   -45.09 eV/cell
SG   P2/m
V   32.3 Å³/atom
DOS at the Fermi energy   1.1 states/eV per cell
Uncorrected formation energy   -115 kJ per mole of atoms

Below is a relaxed structure of TaTiP2, with properties calculated at the PBE-GGA level.

Cell lengths 3.349, 3.349, 6.489 Å; angles 90.00, 90.00, 120.00 degrees
Atoms (fractional coordinates):
Ta 0.000 0.000 0.500
Ti 0.000 0.000 0.000
P 0.333 0.667 0.246
P 0.667 0.333 0.754

Computed properties:
Final energy   -34.45 eV/cell
SG   P-3m1
V   15.8 Å³/atom
E_form   -0.9714 eV/atom
DOS at the Fermi energy   2.7 states/eV per cell
Relative energy among the computed polymorphs   0.0 meV per atom

Below is a relaxed structure of La2YTc, with properties calculated at the PBE-GGA level.

Cell lengths 3.616, 4.718, 7.720 Å; angles 72.17, 90.00, 90.00 degrees
Atoms (fractional coordinates):
La 0.000 0.086 0.952
La 0.500 0.418 0.289
Tc 0.000 0.257 0.612
Y 0.500 0.739 0.647

Computed properties:
Final energy   -26.21 eV/cell
SG   Amm2
V   31.3 Å³/atom
E_form   0.1198 eV/atom
DOS at the Fermi energy   4.8 states/eV per cell
Relative energy among the computed polymorphs   159.2 meV per atom

Below is a relaxed structure of Ga3BMo, with properties calculated at the PBE-GGA level.

Cell lengths 4.289, 4.289, 4.289 Å; angles 90.00, 90.00, 90.00 degrees
Atoms (fractional coordinates):
Mo 0.500 0.500 0.500
B 0.000 0.000 0.000
Ga 0.000 0.500 0.000
Ga 0.000 0.000 0.500
Ga 0.500 0.000 0.000

Computed properties:
Final energy   -22.30 eV/cell
SG   Pm-3m
V   15.8 Å³/atom
E_form   0.8587 eV/atom
DOS at the Fermi energy   2.0 states/eV per cell
Relative energy among the computed polymorphs   0.0 meV per atom

Below is a relaxed structure of Rb2PtSe2O6, with properties calculated at the PBE-GGA level.

Cell lengths 5.403, 7.148, 7.709 Å; angles 117.94, 90.00, 112.21 degrees
Atoms (fractional coordinates):
Rb 0.713 0.425 0.256
Rb 0.287 0.575 0.744
Pt 0.500 0.000 0.500
Se 0.028 0.055 0.802
Se 0.972 0.945 0.198
O 0.880 0.760 0.666
O 0.172 0.836 0.271
O 0.336 0.164 0.729
O 0.828 0.164 0.729
O 0.664 0.836 0.271
O 0.120 0.240 0.334

Computed properties:
Final energy   -56.23 eV/cell
SG   C2/m
V   21.6 Å³/atom
DOS at the Fermi energy   0.0 states/eV per cell
Uncorrected formation energy   -101 kJ per mole of atoms

Below is a relaxed structure of ZrSc2Pa, with properties calculated at the PBE-GGA level.

Cell lengths 3.168, 3.168, 9.522 Å; angles 90.00, 90.00, 90.00 degrees
Atoms (fractional coordinates):
Sc 0.000 0.000 0.755
Sc 0.000 0.000 0.245
Pa 0.500 0.500 0.500
Zr 0.500 0.500 0.000

Computed properties:
Final energy   -30.36 eV/cell
SG   P4/mmm
V   23.9 Å³/atom
E_form   0.0873 eV/atom
DOS at the Fermi energy   8.6 states/eV per cell
Relative energy among the computed polymorphs   49.4 meV per atom